# SrTeMoO6

Crystalline SrTeMoO6 at its relaxed geometry (PBE+U, Alexandria).

Computed properties:
- M_tot (μB per cell) = 0.00
- VASP energy (eV for the cell shown) = -57.87
- calculated density (Mg/m³) = 4.73
- symmetry = No. 1

Cell lengths 5.6425, 5.6398, 5.1922 Å; angles 89.99, 89.98, 59.95 degrees
Element x y z (fractional)
O 0.0022 0.5785 0.7256
O 0.5776 0.4198 0.7256
O 0.3552 0.7312 0.2946
O 0.4194 0.0023 0.7250
O 0.9143 0.3540 0.2961
O 0.7315 0.9134 0.2946
Te 0.3331 0.3338 0.5360
Mo 0.6665 0.6667 0.4516
Sr 0.0000 0.0004 0.9507